## Y2CrHg (PBE)

Data for an optimized crystal structure of Y2CrHg.

DFT total energy = -5.616 eV/atom
Energy relative to the elements = 97 meV/atom
D(E_F) = 2.350 states/eV/cell

Cell lengths 3.820, 3.820, 6.987 Å; angles 90.00, 90.00, 90.00 degrees
Fractional coordinates of all 4 atoms:
Cr  0.000  0.000  0.511
Hg  0.500  0.500  0.735
Y  0.000  0.000  0.964
Y  0.500  0.500  0.291


## YCr3Hg (PBE)

Data for an optimized crystal structure of YCr3Hg.

DFT total energy = -5.927 eV/atom
Energy relative to the elements = 1201 meV/atom
D(E_F) = 5.277 states/eV/cell

Cell lengths 5.068, 5.068, 5.068 Å; angles 90.00, 90.00, 90.00 degrees
Fractional coordinates of all 5 atoms:
Y  0.500  0.500  0.500
Cr  0.000  0.500  0.000
Cr  0.000  0.000  0.500
Cr  0.500  0.000  0.000
Hg  0.000  0.000  0.000


## YCrHg2 (PBE)

Data for an optimized crystal structure of YCrHg2.

DFT total energy = -4.114 eV/atom
Energy relative to the elements = 59 meV/atom
D(E_F) = 2.464 states/eV/cell

Cell lengths 5.472, 5.472, 4.503 Å; angles 65.72, 65.72, 48.51 degrees
Fractional coordinates of all 4 atoms:
Cr  0.250  0.250  0.250
Hg  0.000  0.000  0.000
Hg  0.750  0.750  0.750
Y  0.500  0.500  0.500


## Y2CrHg (PBE)

Data for an optimized crystal structure of Y2CrHg.

DFT total energy = -5.775 eV/atom
Energy relative to the elements = -62 meV/atom
D(E_F) = 3.443 states/eV/cell

Cell lengths 3.598, 3.651, 8.312 Å; angles 63.89, 90.00, 90.00 degrees
Fractional coordinates of all 4 atoms:
Cr  0.500  0.250  0.250
Hg  0.500  0.750  0.750
Y  0.000  0.984  0.016
Y  0.000  0.516  0.484


## Y2CrHg (PBE)

Data for an optimized crystal structure of Y2CrHg.

DFT total energy = -5.439 eV/atom
Energy relative to the elements = 274 meV/atom
D(E_F) = 3.938 states/eV/cell

Cell lengths 10.044, 10.044, 10.044 Å; angles 20.26, 20.26, 20.26 degrees
Fractional coordinates of all 4 atoms:
Cr  0.493  0.493  0.493
Hg  0.758  0.758  0.758
Y  0.008  0.008  0.008
Y  0.242  0.242  0.242


## Y2CrHg (PBE)

Data for an optimized crystal structure of Y2CrHg.

DFT total energy = -5.762 eV/atom
Energy relative to the elements = -49 meV/atom
D(E_F) = 3.181 states/eV/cell

Cell lengths 5.154, 5.154, 3.736 Å; angles 90.00, 90.00, 90.02 degrees
Fractional coordinates of all 4 atoms:
Cr  0.500  0.000  0.500
Hg  0.000  0.500  0.500
Y  0.000  0.000  0.000
Y  0.500  0.500  0.000